Computed, not measured: ZnCuTeI2 after structural relaxation at the PBE level of DFT.

abc: 5.5889 5.5889 5.3336
angles: 90.00 90.00 90.00
With the nearest neighbours (Å) after each atom.
Element x y z (fractional)
Zn: 0.0000 0.0000 0.0000  2 Te 2.67, 4 I 2.79
Cu: 0.5000 0.5000 0.5000  8 I 3.86, 4 Te 3.95
Te: 0.0000 0.0000 0.5000  2 Zn 2.67
I: 0.0000 0.5000 0.0000  2 Zn 2.79
I: 0.5000 0.0000 0.0000  2 Zn 2.79

Results
The calculation puts the energy above the most stable polymorph in this dataset at 0.85 eV/f.u. The symmetry is P4/mmm. For the total moment, the calculation gives 0.0 μB/f.u.

Computed, not measured: NpP2Pt3 after structural relaxation at the PBE level of DFT.

abc: 7.4886 7.4886 9.2602
angles: 123.35 123.35 28.75
With the nearest neighbours (Å) after each atom.
Element x y z (fractional)
Np: 0.1350 0.1350 0.1267  6 P 2.79-3.02, 4 Pt 2.92-3.08
Np: 0.8650 0.8650 0.8733  6 P 2.79-3.02, 4 Pt 2.92-3.08
P: 0.1701 0.1701 0.6437  4 Pt 2.40-2.57
P: 0.4882 0.4882 0.8235  4 Pt 2.36-2.51
P: 0.5118 0.5118 0.1765  4 Pt 2.36-2.51
P: 0.8299 0.8299 0.3563  4 Pt 2.40-2.57
Pt: 0.0128 0.0128 0.6660  4 P 2.41-2.57
Pt: 0.3264 0.3264 0.0998  1 P 2.36
Pt: 0.3276 0.3276 0.5190  3 P 2.40-2.43
Pt: 0.6724 0.6724 0.4810  3 P 2.40-2.43
Pt: 0.6736 0.6736 0.9002  1 P 2.36
Pt: 0.9872 0.9872 0.3340  4 P 2.41-2.57

Results
The symmetry is C2/m. For the total moment, the calculation gives 3.5 μB/f.u. The calculation puts the energy of formation from the pure elements at -0.481 eV/atom.

Computed, not measured: Cd5In after structural relaxation at the PBE level of DFT.

abc: 7.2043 7.2043 4.4677
angles: 90.00 90.00 143.00
With the nearest neighbours (Å) after each atom.
Element x y z (fractional)
Cd: 0.0000 0.0000 0.0000  4 In 3.20, 8 Cd 3.22-3.26
Cd: 0.1696 0.8304 0.5000  10 Cd 3.13-3.22, 2 In 3.25
Cd: 0.3303 0.6697 0.0000  10 Cd 3.13-3.26, 2 In 3.22
Cd: 0.6697 0.3303 0.0000  10 Cd 3.13-3.26, 2 In 3.22
Cd: 0.8304 0.1696 0.5000  10 Cd 3.13-3.22, 2 In 3.25
In: 0.5000 0.5000 0.5000  12 Cd 3.20-3.25

Results
The calculation puts the energy above the most stable polymorph in this dataset at 0.05 eV/f.u. The symmetry is Cmmm. For the total moment, the calculation gives 0.0 μB/f.u. The calculation puts the energy of formation from the pure elements at 0.019 eV/atom.

- Among the records above, which one has the highest total moment?
  NpP2Pt3

- Which of these has the highest total moment?
  NpP2Pt3